[1]
## Y2CdTcN (PBE-GGA)

Data for a relaxed Y2CdTcN crystal.

symmetry = No. 123
D(E_F) = 1.243 states/eV/f.u.
electronic total energy = -7.20 eV/atom

Structure (CIF):
```
data_Y2CdTcN
_chemical_formula_sum 'Y2 Cd1 Tc1 N1'
_symmetry_space_group_name_H-M 'P 1'
_symmetry_Int_Tables_number 1
_symmetry_space_group_name_Hall 'P 1'
_cell_length_a 4.972
_cell_length_b 4.972
_cell_length_c 3.939
_cell_angle_alpha 90.00
_cell_angle_beta 90.00
_cell_angle_gamma 90.00
loop_
_atom_site_label
_atom_site_type_symbol
_atom_site_fract_x
_atom_site_fract_y
_atom_site_fract_z
_atom_site_occupancy
Y1 Y 0.000 0.500 0.000 1
Y2 Y 0.500 0.000 0.000 1
Cd1 Cd 0.000 0.000 0.500 1
Tc1 Tc 0.500 0.500 0.500 1
N1 N 0.500 0.500 0.000 1
```

[2]
## SmEuHoIn (PBE-GGA)

Data for a relaxed SmEuHoIn crystal.

symmetry = No. 216
ΔH_f (0 K) = -0.128 eV per atom
D(E_F) = 5.342 states/eV/f.u.
electronic total energy = -5.71 eV/atom

Structure (CIF):
```
data_SmEuHoIn
_chemical_formula_sum 'Sm1 Eu1 Ho1 In1'
_symmetry_space_group_name_H-M 'P 1'
_symmetry_Int_Tables_number 1
_symmetry_space_group_name_Hall 'P 1'
_cell_length_a 5.539
_cell_length_b 5.539
_cell_length_c 5.539
_cell_angle_alpha 60.00
_cell_angle_beta 60.00
_cell_angle_gamma 60.00
loop_
_atom_site_label
_atom_site_type_symbol
_atom_site_fract_x
_atom_site_fract_y
_atom_site_fract_z
_atom_site_occupancy
Sm1 Sm 0.000 0.000 0.000 1
Eu1 Eu 0.750 0.750 0.750 1
Ho1 Ho 0.500 0.500 0.500 1
In1 In 0.250 0.250 0.250 1
```

[3]
## Er5Si2Ag (PBE-GGA)

Data for a relaxed Er5Si2Ag crystal.

symmetry = No. 140
D(E_F) = 5.445 states/eV/f.u.
electronic total energy = -5.09 eV/atom

Structure (CIF):
```
data_Er5Si2Ag
_chemical_formula_sum 'Er10 Si4 Ag2'
_symmetry_space_group_name_H-M 'P 1'
_symmetry_Int_Tables_number 1
_symmetry_space_group_name_Hall 'P 1'
_cell_length_a 8.832
_cell_length_b 8.832
_cell_length_c 8.832
_cell_angle_alpha 130.38
_cell_angle_beta 130.38
_cell_angle_gamma 72.80
loop_
_atom_site_label
_atom_site_type_symbol
_atom_site_fract_x
_atom_site_fract_y
_atom_site_fract_z
_atom_site_occupancy
Er1 Er 0.000 0.000 0.000 1
Er2 Er 0.030 0.530 0.841 1
Er3 Er 0.189 0.030 0.500 1
Er4 Er 0.311 0.811 0.841 1
Er5 Er 0.470 0.311 0.500 1
Er6 Er 0.500 0.500 0.000 1
Er7 Er 0.530 0.689 0.500 1
Er8 Er 0.689 0.189 0.159 1
Er9 Er 0.811 0.970 0.500 1
Er10 Er 0.970 0.470 0.159 1
Si1 Si 0.124 0.376 0.500 1
Si2 Si 0.376 0.876 0.253 1
Si3 Si 0.624 0.124 0.747 1
Si4 Si 0.876 0.624 0.500 1
Ag1 Ag 0.250 0.250 0.000 1
Ag2 Ag 0.750 0.750 0.000 1
```

[4]
## CaRePb2 (PBE-GGA)

Data for a relaxed CaRePb2 crystal.

symmetry = No. 122
ΔH_f (0 K) = 0.845 eV per atom
D(E_F) = 4.129 states/eV/f.u.
electronic total energy = -4.62 eV/atom
distance to the lowest polymorph of the same formula = 467 meV per atom

Structure (CIF):
```
data_CaRePb2
_chemical_formula_sum 'Ca2 Re2 Pb4'
_symmetry_space_group_name_H-M 'P 1'
_symmetry_Int_Tables_number 1
_symmetry_space_group_name_Hall 'P 1'
_cell_length_a 10.575
_cell_length_b 10.575
_cell_length_c 10.575
_cell_angle_alpha 154.29
_cell_angle_beta 154.29
_cell_angle_gamma 36.68
loop_
_atom_site_label
_atom_site_type_symbol
_atom_site_fract_x
_atom_site_fract_y
_atom_site_fract_z
_atom_site_occupancy
Ca1 Ca 0.000 0.000 0.000 1
Ca2 Ca 0.750 0.250 0.500 1
Re1 Re 0.250 0.750 0.500 1
Re2 Re 0.500 0.500 0.000 1
Pb1 Pb 0.170 0.625 0.045 1
Pb2 Pb 0.375 0.420 0.545 1
Pb3 Pb 0.580 0.125 0.955 1
Pb4 Pb 0.875 0.830 0.455 1
```

[5]
## RePdPt3 (PBE-GGA)

Data for a relaxed RePdPt3 crystal.

symmetry = No. 221
ΔH_f (0 K) = 1.286 eV per atom
D(E_F) = 3.590 states/eV/f.u.
electronic total energy = -5.87 eV/atom
distance to the lowest polymorph of the same formula = 1358 meV per atom

Structure (CIF):
```
data_RePdPt3
_chemical_formula_sum 'Re1 Pd1 Pt3'
_symmetry_space_group_name_H-M 'P 1'
_symmetry_Int_Tables_number 1
_symmetry_space_group_name_Hall 'P 1'
_cell_length_a 4.792
_cell_length_b 4.792
_cell_length_c 4.792
_cell_angle_alpha 90.00
_cell_angle_beta 90.00
_cell_angle_gamma 90.00
loop_
_atom_site_label
_atom_site_type_symbol
_atom_site_fract_x
_atom_site_fract_y
_atom_site_fract_z
_atom_site_occupancy
Re1 Re 0.000 0.000 0.000 1
Pd1 Pd 0.500 0.500 0.500 1
Pt1 Pt 0.000 0.000 0.500 1
Pt2 Pt 0.000 0.500 0.000 1
Pt3 Pt 0.500 0.000 0.000 1
```

[6]
## Ce3Ga2Pb (PBE-GGA)

Data for a relaxed Ce3Ga2Pb crystal.

symmetry = No. 123
ΔH_f (0 K) = -0.453 eV per atom
D(E_F) = 13.016 states/eV/f.u.
electronic total energy = -5.05 eV/atom

Structure (CIF):
```
data_Ce3Ga2Pb
_chemical_formula_sum 'Ce3 Ga2 Pb1'
_symmetry_space_group_name_H-M 'P 1'
_symmetry_Int_Tables_number 1
_symmetry_space_group_name_Hall 'P 1'
_cell_length_a 3.380
_cell_length_b 3.380
_cell_length_c 13.160
_cell_angle_alpha 90.00
_cell_angle_beta 90.00
_cell_angle_gamma 90.00
loop_
_atom_site_label
_atom_site_type_symbol
_atom_site_fract_x
_atom_site_fract_y
_atom_site_fract_z
_atom_site_occupancy
Ce1 Ce 0.000 0.000 0.000 1
Ce2 Ce 0.000 0.000 0.311 1
Ce3 Ce 0.000 0.000 0.689 1
Ga1 Ga 0.500 0.500 0.158 1
Ga2 Ga 0.500 0.500 0.842 1
Pb1 Pb 0.500 0.500 0.500 1
```

[7]
## MgCo2Ir (PBE-GGA)

Data for a relaxed MgCo2Ir crystal.

symmetry = No. 123
ΔH_f (0 K) = 0.084 eV per atom
D(E_F) = 4.880 states/eV/f.u.
electronic total energy = -6.08 eV/atom

Structure (CIF):
```
data_MgCo2Ir
_chemical_formula_sum 'Mg1 Co2 Ir1'
_symmetry_space_group_name_H-M 'P 1'
_symmetry_Int_Tables_number 1
_symmetry_space_group_name_Hall 'P 1'
_cell_length_a 2.698
_cell_length_b 2.698
_cell_length_c 7.270
_cell_angle_alpha 90.00
_cell_angle_beta 90.00
_cell_angle_gamma 90.00
loop_
_atom_site_label
_atom_site_type_symbol
_atom_site_fract_x
_atom_site_fract_y
_atom_site_fract_z
_atom_site_occupancy
Mg1 Mg 0.000 0.000 0.000 1
Co1 Co 0.500 0.500 0.268 1
Co2 Co 0.500 0.500 0.732 1
Ir1 Ir 0.000 0.000 0.500 1
```

[8]
## MgN2Cl (PBE-GGA)

Data for a relaxed MgN2Cl crystal.

symmetry = No. 225
D(E_F) = 4.240 states/eV/f.u.
electronic total energy = -3.23 eV/atom
distance to the lowest polymorph of the same formula = 943 meV per atom

Structure (CIF):
```
data_MgN2Cl
_chemical_formula_sum 'Mg1 N2 Cl1'
_symmetry_space_group_name_H-M 'P 1'
_symmetry_Int_Tables_number 1
_symmetry_space_group_name_Hall 'P 1'
_cell_length_a 4.057
_cell_length_b 4.057
_cell_length_c 4.057
_cell_angle_alpha 60.00
_cell_angle_beta 60.00
_cell_angle_gamma 60.00
loop_
_atom_site_label
_atom_site_type_symbol
_atom_site_fract_x
_atom_site_fract_y
_atom_site_fract_z
_atom_site_occupancy
Mg1 Mg 0.000 0.000 0.000 1
N1 N 0.250 0.250 0.250 1
N2 N 0.750 0.750 0.750 1
Cl1 Cl 0.500 0.500 0.500 1
```

[9]
## Ba4LiIn (PBE-GGA)

Data for a relaxed Ba4LiIn crystal.

symmetry = No. 216
ΔH_f (0 K) = 0.326 eV per atom
D(E_F) = 9.283 states/eV/f.u.
electronic total energy = -1.73 eV/atom
distance to the lowest polymorph of the same formula = 455 meV per atom

Structure (CIF):
```
data_Ba4LiIn
_chemical_formula_sum 'Ba4 Li1 In1'
_symmetry_space_group_name_H-M 'P 1'
_symmetry_Int_Tables_number 1
_symmetry_space_group_name_Hall 'P 1'
_cell_length_a 7.479
_cell_length_b 7.479
_cell_length_c 7.479
_cell_angle_alpha 60.00
_cell_angle_beta 60.00
_cell_angle_gamma 60.00
loop_
_atom_site_label
_atom_site_type_symbol
_atom_site_fract_x
_atom_site_fract_y
_atom_site_fract_z
_atom_site_occupancy
Ba1 Ba 0.124 0.124 0.124 1
Ba2 Ba 0.124 0.124 0.628 1
Ba3 Ba 0.124 0.628 0.124 1
Ba4 Ba 0.628 0.124 0.124 1
Li1 Li 0.500 0.500 0.500 1
In1 In 0.750 0.750 0.750 1
```

[10]
## KLaCl2 (PBE-GGA)

Data for a relaxed KLaCl2 crystal.

symmetry = No. 47
D(E_F) = 2.881 states/eV/f.u.
electronic total energy = -3.78 eV/atom
distance to the lowest polymorph of the same formula = 321 meV per atom

Structure (CIF):
```
data_KLaCl2
_chemical_formula_sum 'K1 La1 Cl2'
_symmetry_space_group_name_H-M 'P 1'
_symmetry_Int_Tables_number 1
_symmetry_space_group_name_Hall 'P 1'
_cell_length_a 3.853
_cell_length_b 4.475
_cell_length_c 8.132
_cell_angle_alpha 90.00
_cell_angle_beta 90.00
_cell_angle_gamma 90.00
loop_
_atom_site_label
_atom_site_type_symbol
_atom_site_fract_x
_atom_site_fract_y
_atom_site_fract_z
_atom_site_occupancy
K1 K 0.000 0.000 0.000 1
La1 La 0.500 0.000 0.500 1
Cl1 Cl 0.000 0.500 0.500 1
Cl2 Cl 0.500 0.500 0.000 1
```

[11]
## MnHgIN2 (PBE-GGA)

Data for a relaxed MnHgIN2 crystal.

symmetry = No. 123
D(E_F) = 6.586 states/eV/f.u.
electronic total energy = -3.54 eV/atom
distance to the lowest polymorph of the same formula = 1005 meV per atom

Structure (CIF):
```
data_MnHgIN2
_chemical_formula_sum 'Mn1 Hg1 I1 N2'
_symmetry_space_group_name_H-M 'P 1'
_symmetry_Int_Tables_number 1
_symmetry_space_group_name_Hall 'P 1'
_cell_length_a 4.169
_cell_length_b 4.169
_cell_length_c 6.813
_cell_angle_alpha 90.00
_cell_angle_beta 90.00
_cell_angle_gamma 90.00
loop_
_atom_site_label
_atom_site_type_symbol
_atom_site_fract_x
_atom_site_fract_y
_atom_site_fract_z
_atom_site_occupancy
Mn1 Mn 0.000 0.000 0.000 1
Hg1 Hg 0.500 0.500 0.500 1
I1 I 0.500 0.500 0.000 1
N1 N 0.000 0.500 0.500 1
N2 N 0.500 0.000 0.500 1
```

[12]
## Pr2TmAl3 (PBE-GGA)

Data for a relaxed Pr2TmAl3 crystal.

symmetry = No. 65
ΔH_f (0 K) = -0.349 eV per atom
D(E_F) = 2.696 states/eV/f.u.
electronic total energy = -4.56 eV/atom
distance to the lowest polymorph of the same formula = 0 meV per atom

Structure (CIF):
```
data_Pr2TmAl3
_chemical_formula_sum 'Pr4 Tm2 Al6'
_symmetry_space_group_name_H-M 'P 1'
_symmetry_Int_Tables_number 1
_symmetry_space_group_name_Hall 'P 1'
_cell_length_a 8.250
_cell_length_b 8.250
_cell_length_c 7.387
_cell_angle_alpha 90.00
_cell_angle_beta 90.00
_cell_angle_gamma 143.16
loop_
_atom_site_label
_atom_site_type_symbol
_atom_site_fract_x
_atom_site_fract_y
_atom_site_fract_z
_atom_site_occupancy
Pr1 Pr 0.000 0.000 0.000 1
Pr2 Pr 0.000 0.000 0.500 1
Pr3 Pr 0.337 0.663 0.000 1
Pr4 Pr 0.663 0.337 0.000 1
Tm1 Tm 0.332 0.668 0.500 1
Tm2 Tm 0.668 0.332 0.500 1
Al1 Al 0.171 0.829 0.265 1
Al2 Al 0.171 0.829 0.735 1
Al3 Al 0.500 0.500 0.265 1
Al4 Al 0.500 0.500 0.735 1
Al5 Al 0.829 0.171 0.265 1
Al6 Al 0.829 0.171 0.735 1
```